Ge2Ir: optimized geometry, PBE-GGA.

Lattice parameters (Å, degrees): 10.602 10.602 10.602 90.00 90.00 90.00
Space group Fd-3m (No. 227, origin choice 2)
One atom of each set of equivalent atoms:
Ge 0.000 0.000 0.000
Ir 0.125 0.125 0.125

## Properties
Total magnetization: 0.02 μB/cell
Crystal system: cubic

***

GeIr15: optimized geometry, PBE-GGA.

Lattice parameters (Å, degrees): 7.743 44.155 3.875 90.00 90.00 90.00
Space group Pccm (No. 49)
One atom of each set of equivalent atoms:
Ge 0.168 0.168 0.000
Ir 0.120 0.215 0.500
Ir 0.125 0.258 0.000
Ir 0.125 0.346 0.000
Ir 0.125 0.390 0.500
Ir 0.125 0.434 0.000
Ir 0.125 0.478 0.500
Ir 0.126 0.302 0.500
Ir 0.373 0.259 0.500
Ir 0.374 0.347 0.500
Ir 0.375 0.390 0.000
Ir 0.375 0.434 0.500
Ir 0.375 0.478 0.000
Ir 0.376 0.216 0.000
Ir 0.377 0.303 0.000
Ir 0.378 0.173 0.500

## Properties
Total magnetization: 0.01 μB/cell
Energy above the lowest structure with this stoichiometry: 0.0 meV per atom
Crystal system: orthorhombic

***

GeIr7: optimized geometry, PBE-GGA.

Lattice parameters (Å, degrees): 2.745 3.872 35.163 90.00 90.00 90.00
Space group Pmmn (No. 59, origin choice 2)
One atom of each set of equivalent atoms:
Ge 0.250 0.250 0.210
Ir 0.250 0.250 0.286
Ir 0.250 0.250 0.365
Ir 0.250 0.250 0.442
Ir 0.250 0.250 0.519
Ir 0.250 0.250 0.597
Ir 0.250 0.250 0.675
Ir 0.250 0.250 0.753

## Properties
Total magnetization: 0.01 μB/cell
Energy above the lowest structure with this stoichiometry: 16.7 meV per atom
Crystal system: orthorhombic

***

For reference, volume by record: 149.0 331.2 186.9 Å³/f.u..
For reference, raw total energy by record: -136.634 -544.400 -132.423 eV per cell.